(1)
Here is a relaxed structure of PrLuAl4 from the Alexandria database. Energies are from GGA-PBE.

Total energy (eV per atom): -4.507
Volume (A^3/atom): 20.82
DOS at the Fermi energy (states/eV/atom): 0.841
E_form (eV per atom): -0.46

Cell: 5.6113 5.6113 5.6113 Å, 60.00 60.00 60.00°
Positions (direct):
Pr (0.0000, 0.0000, 0.0000)
Lu (0.7500, 0.7500, 0.7500)
Al (0.3752, 0.3752, 0.3752)
Al (0.3752, 0.3752, 0.8744)
Al (0.3752, 0.8744, 0.3752)
Al (0.8744, 0.3752, 0.3752)

(2)
Here is a relaxed structure of Cs3Cu2PbCl9 from the Alexandria database. Energies are from GGA-PBE.

Total energy (eV per atom): -3.297
Volume (A^3/atom): 28.04
DOS at the Fermi energy (states/eV/atom): 0.391
Uncorrected formation energy (meV/atom): -1224.9

Cell: 7.3340 7.3340 9.0304 Å, 90.00 90.00 120.00°
Positions (direct):
Cs (0.0000, 0.0000, 0.0000)
Cs (0.3333, 0.6667, 0.6748)
Cs (0.6667, 0.3333, 0.3252)
Cu (0.3333, 0.6667, 0.1496)
Cu (0.6667, 0.3333, 0.8504)
Pb (0.0000, 0.0000, 0.5000)
Cl (0.0000, 0.5000, 0.0000)
Cl (0.1778, 0.3555, 0.3166)
Cl (0.1778, 0.8222, 0.3166)
Cl (0.3555, 0.1778, 0.6834)
Cl (0.5000, 0.0000, 0.0000)
Cl (0.5000, 0.5000, 0.0000)
Cl (0.6445, 0.8222, 0.3166)
Cl (0.8222, 0.1778, 0.6834)
Cl (0.8222, 0.6445, 0.6834)

(3)
Here is a relaxed structure of Ti5Pd8Au from the Alexandria database. Energies are from GGA-PBE.

Total energy (eV per atom): -6.382
Volume (A^3/atom): 16.60
DOS at the Fermi energy (states/eV/atom): 0.941
E_form (eV per atom): -0.36

Cell: 6.7080 6.7080 6.7080 Å, 109.16 109.16 110.10°
Positions (direct):
Ti (0.0000, 0.0000, 0.0000)
Ti (0.2662, 0.1920, 0.6488)
Ti (0.3827, 0.7338, 0.9259)
Ti (0.5432, 0.6173, 0.3512)
Ti (0.8080, 0.4568, 0.0741)
Pd (0.0229, 0.7565, 0.5986)
Pd (0.1077, 0.3677, 0.9416)
Pd (0.1579, 0.4243, 0.4014)
Pd (0.2435, 0.8421, 0.2664)
Pd (0.4261, 0.1662, 0.0584)
Pd (0.5757, 0.9771, 0.7336)
Pd (0.6323, 0.5739, 0.7400)
Pd (0.8338, 0.8923, 0.2600)
Au (0.7500, 0.2500, 0.5000)

(4)
Here is a relaxed structure of ScRuAu2 from the Alexandria database. Energies are from GGA-PBE.

Total energy (eV per atom): -5.830
Volume (A^3/atom): 17.48
DOS at the Fermi energy (states/eV/atom): 0.814
E_form (eV per atom): -0.29

Cell: 3.4226 3.4226 5.9696 Å, 90.00 90.00 90.00°
Positions (direct):
Sc (0.0000, 0.0000, 0.0000)
Ru (0.5000, 0.5000, 0.7667)
Au (0.0000, 0.0000, 0.5206)
Au (0.5000, 0.5000, 0.2640)

(5)
Here is a relaxed structure of PmNdIn2Te4 from the Alexandria database. Energies are from GGA-PBE.

Total energy (eV per atom): -4.437
Volume (A^3/atom): 35.73
DOS at the Fermi energy (states/eV/atom): 0.040
Uncorrected formation energy (meV/atom): -992.1

Cell: 7.8107 4.5114 8.5182 Å, 90.00 107.78 90.00°
Positions (direct):
Pm (0.0000, 0.0000, 0.0000)
Nd (0.5000, 0.5000, 0.0000)
In (0.0000, 0.5000, 0.5000)
In (0.5000, 0.0000, 0.5000)
Te (0.2404, 0.5000, 0.2259)
Te (0.2562, 0.0000, 0.7731)
Te (0.7438, 0.0000, 0.2269)
Te (0.7596, 0.5000, 0.7741)

(6)
Here is a relaxed structure of InSb2Au from the Alexandria database. Energies are from GGA-PBE.

Total energy (eV per atom): -3.619
Volume (A^3/atom): 27.47
DOS at the Fermi energy (states/eV/atom): 0.440
Uncorrected formation energy (meV/atom): -54.3

Cell: 4.8821 4.3104 5.4462 Å, 90.00 106.52 90.00°
Positions (direct):
In (0.0000, 0.0000, 0.0000)
Sb (0.2682, 0.5000, 0.6995)
Sb (0.7318, 0.5000, 0.3005)
Au (0.5000, 0.0000, 0.5000)

(7)
Here is a relaxed structure of Sr2MnCl from the Alexandria database. Energies are from GGA-PBE.

Total energy (eV per atom): -3.879
Volume (A^3/atom): 36.34
DOS at the Fermi energy (states/eV/atom): 0.925
Uncorrected formation energy (meV/atom): -283.7

Cell: 7.2286 7.2286 7.2286 Å, 109.94 109.94 108.54°
Positions (direct):
Sr (0.0925, 0.6250, 0.9675)
Sr (0.3750, 0.3425, 0.4675)
Sr (0.6575, 0.1250, 0.0325)
Sr (0.8750, 0.9075, 0.5325)
Mn (0.2500, 0.7500, 0.5000)
Mn (0.5000, 0.5000, 0.0000)
Cl (0.0000, 0.0000, 0.0000)
Cl (0.7500, 0.2500, 0.5000)

(8)
Here is a relaxed structure of LiSi2Ag from the Alexandria database. Energies are from GGA-PBE.

Total energy (eV per atom): -3.849
Volume (A^3/atom): 15.31
DOS at the Fermi energy (states/eV/atom): 0.280
Uncorrected formation energy (meV/atom): 53.5

Cell: 3.4239 3.4239 5.2235 Å, 90.00 90.00 90.00°
Positions (direct):
Li (0.0000, 0.0000, 0.0000)
Si (0.0000, 0.0000, 0.4710)
Si (0.5000, 0.5000, 0.2776)
Ag (0.5000, 0.5000, 0.7784)

(9)
Here is a relaxed structure of BaErZn2Au5 from the Alexandria database. Energies are from GGA-PBE.

Total energy (eV per atom): -3.263
Volume (A^3/atom): 23.27
DOS at the Fermi energy (states/eV/atom): 0.450
E_form (eV per atom): -0.44

Cell: 5.0779 5.0779 8.1231 Å, 90.00 90.00 90.00°
Positions (direct):
Ba (0.0000, 0.0000, 0.0000)
Er (0.0000, 0.0000, 0.5000)
Zn (0.5000, 0.5000, 0.3273)
Zn (0.5000, 0.5000, 0.6727)
Au (0.0000, 0.5000, 0.3029)
Au (0.0000, 0.5000, 0.6971)
Au (0.5000, 0.0000, 0.3029)
Au (0.5000, 0.0000, 0.6971)
Au (0.5000, 0.5000, 0.0000)

(10)
Here is a relaxed structure of Er2UGa6 from the Alexandria database. Energies are from GGA-PBE.

Total energy (eV per atom): -4.719
Volume (A^3/atom): 20.20
DOS at the Fermi energy (states/eV/atom): 1.229
E_form (eV per atom): -0.43

Cell: 7.5405 7.5405 3.6919 Å, 90.00 90.00 120.00°
Positions (direct):
Er (0.3333, 0.6667, 0.0000)
Er (0.6667, 0.3333, 0.0000)
U (0.0000, 0.0000, 0.0000)
Ga (0.0000, 0.3339, 0.5000)
Ga (0.0000, 0.6661, 0.5000)
Ga (0.3339, 0.0000, 0.5000)
Ga (0.3339, 0.3339, 0.5000)
Ga (0.6661, 0.0000, 0.5000)
Ga (0.6661, 0.6661, 0.5000)

(11)
Here is a relaxed structure of NaErTh from the Alexandria database. Energies are from GGA-PBE.

Total energy (eV per atom): -3.902
Volume (A^3/atom): 34.16
DOS at the Fermi energy (states/eV/atom): 1.189
E_form (eV per atom): 0.53

Cell: 7.9053 6.6231 6.3419 Å, 75.11 54.06 50.83°
Positions (direct):
Na (0.1239, 0.1239, 0.8761)
Na (0.8761, 0.8761, 0.1239)
Er (0.3263, 0.6737, 0.3263)
Er (0.6737, 0.3263, 0.6737)
Th (0.2500, 0.2500, 0.2500)
Th (0.7500, 0.7500, 0.7500)

(12)
Here is a relaxed structure of PuCd3Hg12 from the Alexandria database. Energies are from GGA-PBE.

Total energy (eV per atom): -1.299
Volume (A^3/atom): 25.43
DOS at the Fermi energy (states/eV/atom): 1.081
E_form (eV per atom): -0.01

Cell: 4.5338 4.5338 19.7954 Å, 90.00 90.00 90.00°
Positions (direct):
Pu (0.0000, 0.0000, 0.0000)
Cd (0.0000, 0.0000, 0.2555)
Cd (0.0000, 0.0000, 0.5000)
Cd (0.0000, 0.0000, 0.7445)
Hg (0.0000, 0.5000, 0.1247)
Hg (0.0000, 0.5000, 0.3753)
Hg (0.0000, 0.5000, 0.6247)
Hg (0.0000, 0.5000, 0.8753)
Hg (0.5000, 0.0000, 0.1247)
Hg (0.5000, 0.0000, 0.3753)
Hg (0.5000, 0.0000, 0.6247)
Hg (0.5000, 0.0000, 0.8753)
Hg (0.5000, 0.5000, 0.0000)
Hg (0.5000, 0.5000, 0.2460)
Hg (0.5000, 0.5000, 0.5000)
Hg (0.5000, 0.5000, 0.7540)

Number 5 is which compound? PmNdIn2Te4

What did the eleventh record say?
Here is a relaxed structure of NaErTh from the Alexandria database. Energies are from GGA-PBE.

Total energy (eV per atom): -3.902
Volume (A^3/atom): 34.16
DOS at the Fermi energy (states/eV/atom): 1.189
E_form (eV per atom): 0.53

Cell: 7.9053 6.6231 6.3419 Å, 75.11 54.06 50.83°
Positions (direct):
Na (0.1239, 0.1239, 0.8761)
Na (0.8761, 0.8761, 0.1239)
Er (0.3263, 0.6737, 0.3263)
Er (0.6737, 0.3263, 0.6737)
Th (0.2500, 0.2500, 0.2500)
Th (0.7500, 0.7500, 0.7500)

Among the records above, which one has the highest total energy? PuCd3Hg12